Entry 1:
Density functional theory data (PBE) for crystalline La4TlGaAu2 at its relaxed geometry.

Cell lengths 5.433, 5.433, 9.397 Å; angles 73.20, 73.20, 60.00 degrees
Sites, in units of the cell vectors:
1 La 0.381 0.381 0.856
2 La 0.132 0.132 0.603
3 La 0.868 0.868 0.397
4 La 0.619 0.619 0.144
5 Ga 0.500 0.500 0.500
6 Au 0.260 0.260 0.221
7 Au 0.740 0.740 0.779
8 Tl 0.000 0.000 0.000

Output
Space-group type = R-3m
DFT formation energy = -610 meV per atom
Uncorrected energy = -4.57 eV/atom
Fermi-level density of states = 8.32 states/eV/cell


Entry 2:
Density functional theory data (PBE) for crystalline RbHgTeI2 at its relaxed geometry.

Cell lengths 7.001, 7.001, 7.424 Å; angles 90.00, 90.00, 90.00 degrees
Sites, in units of the cell vectors:
1 Te 0.000 0.000 0.500
2 I 0.000 0.500 0.000
3 I 0.500 0.000 0.000
4 Rb 0.000 0.000 0.000
5 Hg 0.500 0.500 0.500

Output
Space-group type = P4/mmm
Formation energy without anion corrections = 115 meV per atom
Uncorrected energy = -1.39 eV/atom
Fermi-level density of states = 7.00 states/eV/cell


Entry 3:
Density functional theory data (PBE) for crystalline SiGeH3 at its relaxed geometry.

Cell lengths 3.615, 3.615, 3.615 Å; angles 90.00, 90.00, 90.00 degrees
Sites, in units of the cell vectors:
1 Si 0.000 0.000 0.000
2 H 0.000 0.000 0.500
3 H 0.000 0.500 0.000
4 H 0.500 0.000 0.000
5 Ge 0.500 0.500 0.500

Output
Space-group type = Pm-3m
Uncorrected energy = -3.36 eV/atom
Fermi-level density of states = 1.21 states/eV/cell


Entry 4:
Density functional theory data (PBE) for crystalline Zr3Ti2S3 at its relaxed geometry.

Cell lengths 3.460, 6.046, 13.642 Å; angles 90.00, 90.00, 106.63 degrees
Sites, in units of the cell vectors:
1 S 0.388 0.775 0.559
2 S 0.388 0.775 0.941
3 S 0.343 0.686 0.250
4 S 0.657 0.314 0.750
5 S 0.612 0.225 0.441
6 S 0.612 0.225 0.059
7 Zr 0.037 0.073 0.864
8 Zr 0.963 0.927 0.136
9 Zr 0.963 0.927 0.364
10 Zr 0.329 0.659 0.750
11 Zr 0.671 0.341 0.250
12 Zr 0.037 0.073 0.636
13 Ti 0.252 0.505 0.082
14 Ti 0.748 0.495 0.918
15 Ti 0.252 0.505 0.418
16 Ti 0.748 0.495 0.582

Output
Space-group type = Cmcm
Formation energy without anion corrections = -1102 meV per atom
Uncorrected energy = -7.83 eV/atom
Fermi-level density of states = 7.42 states/eV/cell


Entry 5:
Density functional theory data (PBE) for crystalline Er2Cd2In at its relaxed geometry.

Cell lengths 4.988, 6.104, 9.669 Å; angles 95.89, 75.05, 65.88 degrees
Sites, in units of the cell vectors:
1 Er 0.892 0.275 0.941
2 Er 0.702 0.250 0.346
3 Er 0.108 0.725 0.059
4 Er 0.298 0.750 0.654
5 In 0.550 0.194 0.706
6 In 0.450 0.806 0.294
7 Cd 0.056 0.310 0.579
8 Cd 0.666 0.804 0.864
9 Cd 0.334 0.196 0.136
10 Cd 0.944 0.690 0.421

Output
Space-group type = C2/m
DFT formation energy = -299 meV per atom
Uncorrected energy = -3.04 eV/atom
Fermi-level density of states = 7.25 states/eV/cell


Entry 6:
Density functional theory data (PBE) for crystalline LiErZnAg at its relaxed geometry.

Cell lengths 4.820, 4.820, 4.820 Å; angles 60.00, 60.00, 60.00 degrees
Sites, in units of the cell vectors:
1 Ag 0.250 0.250 0.250
2 Zn 0.750 0.750 0.750
3 Li 0.500 0.500 0.500
4 Er 0.000 0.000 0.000

Output
Space-group type = F-43m
DFT formation energy = -200 meV per atom
Uncorrected energy = -2.85 eV/atom
Fermi-level density of states = 4.27 states/eV/cell


Entry 7:
Density functional theory data (PBE) for crystalline VAs2BrN at its relaxed geometry.

Cell lengths 4.705, 4.705, 5.272 Å; angles 90.00, 90.00, 90.00 degrees
Sites, in units of the cell vectors:
1 As 0.000 0.500 0.000
2 As 0.500 0.000 0.000
3 N 0.500 0.500 0.500
4 V 0.000 0.000 0.000
5 Br 0.000 0.000 0.500

Output
Space-group type = P4/mmm
Formation energy without anion corrections = 1106 meV per atom
Uncorrected energy = -4.58 eV/atom
Fermi-level density of states = 3.47 states/eV/cell


Entry 8:
Density functional theory data (PBE) for crystalline LiZn2Mo at its relaxed geometry.

Cell lengths 4.795, 4.795, 4.795 Å; angles 132.94, 132.94, 68.75 degrees
Sites, in units of the cell vectors:
1 Mo 0.750 0.250 0.500
2 Zn 0.000 0.000 0.000
3 Zn 0.250 0.750 0.500
4 Li 0.500 0.500 0.000

Output
Space-group type = I-4m2
DFT formation energy = 292 meV per atom
Uncorrected energy = -3.53 eV/atom
Fermi-level density of states = 3.41 states/eV/cell